[1]
Ac2ErNb after structural relaxation. Source: Alexandria, functional PBE-GGA.

Summary:
- Symmetry: R-3m
- Spin magnetization: 0.00 μB per atom
- ΔH_f (0 K): 784 meV/atom

Structure (CIF):
```
data_Ac2ErNb
_space_group_name_H-M_alt 'P 1'
_space_group_IT_number 1
_cell_length_a 12.356
_cell_length_b 12.356
_cell_length_c 12.356
_cell_angle_alpha 16.48
_cell_angle_beta 16.48
_cell_angle_gamma 16.48
loop_
_space_group_symop_operation_xyz
'x,y,z'
loop_
_atom_site_label
_atom_site_type_symbol
_atom_site_fract_x
_atom_site_fract_y
_atom_site_fract_z
_atom_site_occupancy
Ac1 Ac 0.083 0.083 0.083 1
Ac2 Ac 0.917 0.917 0.917 1
Er1 Er 0.500 0.500 0.500 1
Nb1 Nb 0.000 0.000 0.000 1
```

***

[2]
AcEr2Nb after structural relaxation. Source: Alexandria, functional PBE-GGA.

Summary:
- Symmetry: R-3m
- Spin magnetization: 0.11 μB per atom
- ΔH_f (0 K): 687 meV/atom

Structure (CIF):
```
data_AcEr2Nb
_space_group_name_H-M_alt 'P 1'
_space_group_IT_number 1
_cell_length_a 12.074
_cell_length_b 12.074
_cell_length_c 12.074
_cell_angle_alpha 16.25
_cell_angle_beta 16.25
_cell_angle_gamma 16.25
loop_
_space_group_symop_operation_xyz
'x,y,z'
loop_
_atom_site_label
_atom_site_type_symbol
_atom_site_fract_x
_atom_site_fract_y
_atom_site_fract_z
_atom_site_occupancy
Ac1 Ac 0.000 0.000 0.000 1
Er1 Er 0.420 0.420 0.420 1
Er2 Er 0.580 0.580 0.580 1
Nb1 Nb 0.500 0.500 0.500 1
```

***

[3]
Ac2ErNbO6 after structural relaxation. Source: Alexandria, functional PBE-GGA.

Summary:
- Symmetry: C2/m
- Spin magnetization: 0.20 μB per atom
- Formation energy from raw total energies: -3044 meV/atom

Structure (CIF):
```
data_Ac2ErNbO6
_space_group_name_H-M_alt 'P 1'
_space_group_IT_number 1
_cell_length_a 5.981
_cell_length_b 5.981
_cell_length_c 6.180
_cell_angle_alpha 121.09
_cell_angle_beta 121.09
_cell_angle_gamma 58.14
loop_
_space_group_symop_operation_xyz
'x,y,z'
loop_
_atom_site_label
_atom_site_type_symbol
_atom_site_fract_x
_atom_site_fract_y
_atom_site_fract_z
_atom_site_occupancy
Ac1 Ac 0.244 0.244 0.229 1
Ac2 Ac 0.756 0.756 0.771 1
Er1 Er 0.000 0.000 0.500 1
Nb1 Nb 0.500 0.500 0.000 1
O1 O 0.195 0.676 0.189 1
O2 O 0.257 0.257 0.652 1
O3 O 0.324 0.805 0.811 1
O4 O 0.676 0.195 0.189 1
O5 O 0.743 0.743 0.348 1
O6 O 0.805 0.324 0.811 1
```

***

[4]
AcErNbO6 after structural relaxation. Source: Alexandria, functional PBE-GGA.

Summary:
- Symmetry: P4_2nm
- Spin magnetization: 0.10 μB per atom
- Formation energy from raw total energies: -2852 meV/atom

Structure (CIF):
```
data_AcErNbO6
_space_group_name_H-M_alt 'P 1'
_space_group_IT_number 1
_cell_length_a 5.167
_cell_length_b 5.167
_cell_length_c 10.521
_cell_angle_alpha 90.00
_cell_angle_beta 90.00
_cell_angle_gamma 90.00
loop_
_space_group_symop_operation_xyz
'x,y,z'
loop_
_atom_site_label
_atom_site_type_symbol
_atom_site_fract_x
_atom_site_fract_y
_atom_site_fract_z
_atom_site_occupancy
Ac1 Ac 0.000 0.000 0.000 1
Ac2 Ac 0.500 0.500 0.500 1
Er1 Er 0.000 0.000 0.333 1
Er2 Er 0.500 0.500 0.833 1
Nb1 Nb 0.000 0.000 0.667 1
Nb2 Nb 0.500 0.500 0.167 1
O1 O 0.171 0.171 0.511 1
O2 O 0.195 0.195 0.800 1
O3 O 0.224 0.224 0.183 1
O4 O 0.276 0.724 0.683 1
O5 O 0.305 0.695 0.300 1
O6 O 0.329 0.671 0.011 1
O7 O 0.671 0.329 0.011 1
O8 O 0.695 0.305 0.300 1
O9 O 0.724 0.276 0.683 1
O10 O 0.776 0.776 0.183 1
O11 O 0.805 0.805 0.800 1
O12 O 0.829 0.829 0.511 1
```

***

[5]
AcNd3Er after structural relaxation. Source: Alexandria, functional PBE-GGA.

Summary:
- Symmetry: P-1
- Spin magnetization: 0.00 μB per atom
- Energy relative to the lowest polymorph listed for this composition: 0.000 eV/f.u.
- ΔH_f (0 K): 45 meV/atom

Structure (CIF):
```
data_AcNd3Er
_space_group_name_H-M_alt 'P 1'
_space_group_IT_number 1
_cell_length_a 3.755
_cell_length_b 8.789
_cell_length_c 11.598
_cell_angle_alpha 105.12
_cell_angle_beta 99.29
_cell_angle_gamma 90.06
loop_
_space_group_symop_operation_xyz
'x,y,z'
loop_
_atom_site_label
_atom_site_type_symbol
_atom_site_fract_x
_atom_site_fract_y
_atom_site_fract_z
_atom_site_occupancy
Ac1 Ac 0.214 0.308 0.429 1
Ac2 Ac 0.786 0.692 0.571 1
Nd1 Nd 0.180 0.875 0.356 1
Nd2 Nd 0.390 0.488 0.779 1
Nd3 Nd 0.421 0.926 0.843 1
Nd4 Nd 0.579 0.074 0.157 1
Nd5 Nd 0.610 0.512 0.221 1
Nd6 Nd 0.820 0.125 0.644 1
Er1 Er 0.016 0.714 0.033 1
Er2 Er 0.984 0.286 0.967 1
```

***

[6]
AcNd2Er2 after structural relaxation. Source: Alexandria, functional PBE-GGA.

Summary:
- Symmetry: Fddd
- Spin magnetization: 0.00 μB per atom
- Energy relative to the lowest polymorph listed for this composition: 2.107 eV/f.u.
- ΔH_f (0 K): 553 meV/atom

Structure (CIF):
```
data_AcNd2Er2
_space_group_name_H-M_alt 'P 1'
_space_group_IT_number 1
_cell_length_a 13.205
_cell_length_b 12.141
_cell_length_c 6.611
_cell_angle_alpha 84.01
_cell_angle_beta 66.13
_cell_angle_gamma 29.86
loop_
_space_group_symop_operation_xyz
'x,y,z'
loop_
_atom_site_label
_atom_site_type_symbol
_atom_site_fract_x
_atom_site_fract_y
_atom_site_fract_z
_atom_site_occupancy
Ac1 Ac 0.125 0.125 0.125 1
Ac2 Ac 0.875 0.875 0.875 1
Nd1 Nd 0.197 0.553 0.197 1
Nd2 Nd 0.447 0.803 0.447 1
Nd3 Nd 0.553 0.197 0.553 1
Nd4 Nd 0.803 0.447 0.803 1
Er1 Er 0.000 0.000 0.000 1
Er2 Er 0.000 0.000 0.500 1
Er3 Er 0.000 0.500 0.000 1
Er4 Er 0.500 0.000 0.000 1
```

***

[7]
AcNd6Er8 after structural relaxation. Source: Alexandria, functional PBE-GGA.

Summary:
- Symmetry: R-3
- Spin magnetization: 0.00 μB per atom
- ΔH_f (0 K): 238 meV/atom

Structure (CIF):
```
data_AcNd6Er8
_space_group_name_H-M_alt 'P 1'
_space_group_IT_number 1
_cell_length_a 8.628
_cell_length_b 8.628
_cell_length_c 8.628
_cell_angle_alpha 67.64
_cell_angle_beta 67.64
_cell_angle_gamma 67.64
loop_
_space_group_symop_operation_xyz
'x,y,z'
loop_
_atom_site_label
_atom_site_type_symbol
_atom_site_fract_x
_atom_site_fract_y
_atom_site_fract_z
_atom_site_occupancy
Ac1 Ac 0.000 0.000 0.000 1
Nd1 Nd 0.115 0.644 0.398 1
Nd2 Nd 0.356 0.602 0.885 1
Nd3 Nd 0.398 0.115 0.644 1
Nd4 Nd 0.602 0.885 0.356 1
Nd5 Nd 0.644 0.398 0.115 1
Nd6 Nd 0.885 0.356 0.602 1
Er1 Er 0.100 0.418 0.840 1
Er2 Er 0.160 0.900 0.582 1
Er3 Er 0.229 0.229 0.229 1
Er4 Er 0.418 0.840 0.100 1
Er5 Er 0.582 0.160 0.900 1
Er6 Er 0.771 0.771 0.771 1
Er7 Er 0.840 0.100 0.418 1
Er8 Er 0.900 0.582 0.160 1
```

***

[8]
AcNdEr after structural relaxation. Source: Alexandria, functional PBE-GGA.

Summary:
- Symmetry: I4mm
- Spin magnetization: 0.00 μB per atom
- Energy relative to the lowest polymorph listed for this composition: 0.005 eV/f.u.
- ΔH_f (0 K): 54 meV/atom

Structure (CIF):
```
data_AcNdEr
_space_group_name_H-M_alt 'P 1'
_space_group_IT_number 1
_cell_length_a 8.200
_cell_length_b 8.200
_cell_length_c 8.200
_cell_angle_alpha 153.43
_cell_angle_beta 153.43
_cell_angle_gamma 37.93
loop_
_space_group_symop_operation_xyz
'x,y,z'
loop_
_atom_site_label
_atom_site_type_symbol
_atom_site_fract_x
_atom_site_fract_y
_atom_site_fract_z
_atom_site_occupancy
Ac1 Ac 0.000 0.000 0.000 1
Nd1 Nd 0.676 0.676 0.000 1
Er1 Er 0.331 0.331 0.000 1
```

***

[9]
Ac2Nd8Er after structural relaxation. Source: Alexandria, functional PBE-GGA.

Summary:
- Symmetry: C2/m
- Spin magnetization: 0.00 μB per atom
- Energy relative to the lowest polymorph listed for this composition: 0.312 eV/f.u.
- ΔH_f (0 K): 188 meV/atom

Structure (CIF):
```
data_Ac2Nd8Er
_space_group_name_H-M_alt 'P 1'
_space_group_IT_number 1
_cell_length_a 10.661
_cell_length_b 10.661
_cell_length_c 5.796
_cell_angle_alpha 93.30
_cell_angle_beta 93.30
_cell_angle_gamma 39.31
loop_
_space_group_symop_operation_xyz
'x,y,z'
loop_
_atom_site_label
_atom_site_type_symbol
_atom_site_fract_x
_atom_site_fract_y
_atom_site_fract_z
_atom_site_occupancy
Ac1 Ac 0.219 0.219 0.258 1
Ac2 Ac 0.781 0.781 0.742 1
Nd1 Nd 0.044 0.044 0.234 1
Nd2 Nd 0.116 0.641 0.268 1
Nd3 Nd 0.325 0.325 0.777 1
Nd4 Nd 0.359 0.884 0.732 1
Nd5 Nd 0.641 0.116 0.268 1
Nd6 Nd 0.675 0.675 0.223 1
Nd7 Nd 0.884 0.359 0.732 1
Nd8 Nd 0.956 0.956 0.766 1
Er1 Er 0.500 0.500 0.000 1
```

***

[10]
Ac12Nd7Er after structural relaxation. Source: Alexandria, functional PBE-GGA.

Summary:
- Symmetry: R-3m
- Spin magnetization: 0.00 μB per atom
- ΔH_f (0 K): 180 meV/atom

Structure (CIF):
```
data_Ac12Nd7Er
_space_group_name_H-M_alt 'P 1'
_space_group_IT_number 1
_cell_length_a 12.245
_cell_length_b 12.245
_cell_length_c 12.245
_cell_angle_alpha 116.75
_cell_angle_beta 116.75
_cell_angle_gamma 116.75
loop_
_space_group_symop_operation_xyz
'x,y,z'
loop_
_atom_site_label
_atom_site_type_symbol
_atom_site_fract_x
_atom_site_fract_y
_atom_site_fract_z
_atom_site_occupancy
Ac1 Ac 0.000 0.412 0.588 1
Ac2 Ac 0.000 0.588 0.412 1
Ac3 Ac 0.069 0.069 0.415 1
Ac4 Ac 0.069 0.415 0.069 1
Ac5 Ac 0.412 0.000 0.588 1
Ac6 Ac 0.412 0.588 0.000 1
Ac7 Ac 0.415 0.069 0.069 1
Ac8 Ac 0.585 0.931 0.931 1
Ac9 Ac 0.588 0.000 0.412 1
Ac10 Ac 0.588 0.412 0.000 1
Ac11 Ac 0.931 0.585 0.931 1
Ac12 Ac 0.931 0.931 0.585 1
Nd1 Nd 0.000 0.000 0.000 1
Nd2 Nd 0.149 0.392 0.392 1
Nd3 Nd 0.392 0.149 0.392 1
Nd4 Nd 0.392 0.392 0.149 1
Nd5 Nd 0.608 0.608 0.851 1
Nd6 Nd 0.608 0.851 0.608 1
Nd7 Nd 0.851 0.608 0.608 1
Er1 Er 0.500 0.500 0.500 1
```